Compound: ErHf2NiN4
Source: Alexandria via LeMat-Bulk
Functional: PBE
Structure: relaxed

## Properties
- formation energy from raw total energies (eV/atom) = -1.380

Geometry as CIF:
```
data_ErHf2NiN4
_chemical_formula_sum 'Er4 Hf8 Ni4 N16'
_cell_length_a 3.187
_cell_length_b 10.768
_cell_length_c 11.016
_cell_angle_alpha 90.00
_cell_angle_beta 90.00
_cell_angle_gamma 90.00
_space_group_name_H-M_alt 'C m c m'
_space_group_IT_number 63
_space_group_name_Hall '-C 2c 2'
loop_
_atom_site_label
_atom_site_type_symbol
_atom_site_fract_x
_atom_site_fract_y
_atom_site_fract_z
_atom_site_occupancy
Er1 Er 0.000 0.113 0.250 1
Hf1 Hf 0.000 0.368 0.056 1
Ni1 Ni 0.000 0.151 0.750 1
N1 N 0.000 0.000 0.000 1
N2 N 0.000 0.270 0.614 1
N3 N 0.000 0.453 0.250 1
```


Compound: Pm12CoGe6
Source: Alexandria via LeMat-Bulk
Functional: PBE
Structure: relaxed

## Properties
- energy of formation (eV per atom) = -0.47

Geometry as CIF:
```
data_Pm12CoGe6
_chemical_formula_sum 'Pm36 Co3 Ge18'
_cell_length_a 12.9222
_cell_length_b 12.9222
_cell_length_c 12.0874
_cell_angle_alpha 90.00
_cell_angle_beta 90.00
_cell_angle_gamma 120.00
_space_group_name_H-M_alt 'R -3'
_space_group_IT_number 148
_space_group_name_Hall '-R 3'
loop_
_atom_site_label
_atom_site_type_symbol
_atom_site_fract_x
_atom_site_fract_y
_atom_site_fract_z
_atom_site_occupancy
Pm1 Pm 0.0329 0.8260 0.3943 1
Pm2 Pm 0.0499 0.8497 0.8854 1
Co1 Co 0.0000 0.0000 0.0000 1
Ge1 Ge 0.0480 0.7754 0.6494 1
```


The evaluated DOS at the Fermi energy for the records listed, in turn: 0.26; 1.10 states/eV per atom.
The evaluated total magnetic moment for the records listed, in turn: 0.0; 0.0 μB/f.u..